Material: Hg2SbIr
Method: DFT, PBE
State: relaxed

Properties
Its magnetic moment is 0.00 μB per cell. Its formation energy from raw total energies is 0.53 eV per atom. Its crystal system is orthorhombic. The calculation puts the density at 13.71 g/cm3. The total energy is -2.870 eV per atom.

a = 3.0779 Å, b = 5.4011 Å, c = 10.4239 Å
α = 90.00°, β = 90.00°, γ = 90.00°
Space group Cmmm (No. 65)
Asymmetric unit:
Hg (0.0000, 0.0000, 0.2234) [4 per cell]
Sb (0.0000, 0.5000, 0.5000) [2 per cell]
Ir (0.0000, 0.5000, 0.0000) [2 per cell]